Entry 1:
Here is a relaxed AgSb2Mo crystal from Alexandria via LeMat-Bulk. Energies are from PBE.

Calculated values
Energy above the lowest structure with this stoichiometry (meV/atom): 447.9
Formation energy (no corrections) (meV/atom): 617.0
D(E_F) (states/eV/f.u.): 1.62
Uncorrected energy (eV per atom): -4.86

a b c (Å): 7.492 7.492 7.492
angles (deg): 129.47 129.47 74.26
Fractional coordinates of all 8 atoms:
Ag: 0.000 0.000 0.000
Ag: 0.750 0.250 0.500
Sb: 0.146 0.625 0.021
Sb: 0.375 0.396 0.521
Sb: 0.604 0.125 0.979
Sb: 0.875 0.854 0.479
Mo: 0.250 0.750 0.500
Mo: 0.500 0.500 0.000

Entry 2:
Here is a relaxed AgSbTe2Mo crystal from Alexandria via LeMat-Bulk. Energies are from PBE.

Calculated values
Energy above the lowest structure with this stoichiometry (meV/atom): 0.0
Formation energy (no corrections) (meV/atom): 586.0
D(E_F) (states/eV/f.u.): 4.49
Uncorrected energy (eV per atom): -4.23

a b c (Å): 5.279 5.279 5.312
angles (deg): 90.00 90.00 90.00
Fractional coordinates of all 5 atoms:
Ag: 0.000 0.000 0.000
Sb: 0.500 0.500 0.000
Te: 0.000 0.500 0.500
Te: 0.500 0.000 0.500
Mo: 0.500 0.500 0.500

What is the formation energy (no corrections) in the first record?
617.0 meV/atom